Computed, not measured: BiP2PtO after structural relaxation at the PBE level of DFT.

Computed properties:
magnetic moment: 0.0 μB per formula unit
density of states at the Fermi level: 0.770 states/eV per atom
energy above the lowest structure with this stoichiometry: 837 meV/atom
space group: P4/mmm (123)
energy: -4.07 eV per atom

a b c (Å): 5.201 5.201 4.037
angles (deg): 90.00 90.00 90.00
Positions (direct):
Bi  0.000  0.000  0.000
P  0.000  0.500  0.000
P  0.500  0.000  0.000
Pt  0.500  0.500  0.500
O  0.000  0.000  0.500